[1]
# LaCo2Re2 PBE optimized geometry
data_LaCo2Re2
_symmetry_space_group_name_H-M 'I 4/m m m'
_symmetry_Int_Tables_number 139
_symmetry_space_group_name_Hall '-I 4 2'
_cell_length_a 3.850
_cell_length_b 3.850
_cell_length_c 11.393
_cell_angle_alpha 90.00
_cell_angle_beta 90.00
_cell_angle_gamma 90.00
loop_
_atom_site_label
_atom_site_type_symbol
_atom_site_fract_x
_atom_site_fract_y
_atom_site_fract_z
La1 La 0.000 0.000 0.000
Co1 Co 0.000 0.000 0.390
Re1 Re 0.000 0.500 0.250
# E: -8.65 eV per atom
# ΔE_f: 157 meV/atom
# Theoretical density: 12.4 g cm⁻³
# Offset from the most stable computed form: 0.0 meV/atom

=====

[2]
# LaCo2Re PBE optimized geometry
data_LaCo2Re
_symmetry_space_group_name_H-M 'R 3 m'
_symmetry_Int_Tables_number 160
_symmetry_space_group_name_Hall 'R 3 -2"'
_cell_length_a 4.1657
_cell_length_b 4.1657
_cell_length_c 15.4887
_cell_angle_alpha 90.00
_cell_angle_beta 90.00
_cell_angle_gamma 120.00
loop_
_atom_site_label
_atom_site_type_symbol
_atom_site_fract_x
_atom_site_fract_y
_atom_site_fract_z
La1 La 0.0000 0.0000 0.0000
Co1 Co 0.0000 0.0000 0.1876
Co2 Co 0.0000 0.0000 0.5010
Re1 Re 0.0000 0.0000 0.8134
# E: -7.80 eV per atom
# ΔE_f: 92 meV/atom
# Theoretical density: 9.5 g cm⁻³
# Offset from the most stable computed form: 79.9 meV/atom

=====

[3]
# LaCo2Re PBE optimized geometry
data_LaCo2Re
_symmetry_space_group_name_H-M 'I -4 2 d'
_symmetry_Int_Tables_number 122
_symmetry_space_group_name_Hall 'I -4 2bw'
_cell_length_a 4.683
_cell_length_b 4.683
_cell_length_c 15.501
_cell_angle_alpha 90.00
_cell_angle_beta 90.00
_cell_angle_gamma 90.00
loop_
_atom_site_label
_atom_site_type_symbol
_atom_site_fract_x
_atom_site_fract_y
_atom_site_fract_z
La1 La 0.000 0.000 0.000
Co1 Co 0.052 0.250 0.625
Re1 Re 0.000 0.000 0.500
# E: -7.38 eV per atom
# ΔE_f: 517 meV/atom
# Theoretical density: 8.7 g cm⁻³
# Offset from the most stable computed form: 504.9 meV/atom

=====

[4]
# La4CoRe PBE optimized geometry
data_La4CoRe
_symmetry_space_group_name_H-M 'F -4 3 m'
_symmetry_Int_Tables_number 216
_symmetry_space_group_name_Hall 'F -4 2 3'
_cell_length_a 8.643
_cell_length_b 8.643
_cell_length_c 8.643
_cell_angle_alpha 90.00
_cell_angle_beta 90.00
_cell_angle_gamma 90.00
loop_
_atom_site_label
_atom_site_type_symbol
_atom_site_fract_x
_atom_site_fract_y
_atom_site_fract_z
La1 La 0.124 0.124 0.124
Co1 Co 0.000 0.000 0.500
Re1 Re 0.250 0.250 0.750
# E: -5.32 eV per atom
# ΔE_f: 1229 meV/atom
# Theoretical density: 8.2 g cm⁻³

=====

[5]
# La2CoRe PBE optimized geometry
data_La2CoRe
_symmetry_space_group_name_H-M 'C m m m'
_symmetry_Int_Tables_number 65
_symmetry_space_group_name_Hall '-C 2 2'
_cell_length_a 5.000
_cell_length_b 5.012
_cell_length_c 7.224
_cell_angle_alpha 90.00
_cell_angle_beta 90.00
_cell_angle_gamma 90.00
loop_
_atom_site_label
_atom_site_type_symbol
_atom_site_fract_x
_atom_site_fract_y
_atom_site_fract_z
La1 La 0.000 0.000 0.250
Co1 Co 0.000 0.500 0.000
Re1 Re 0.000 0.500 0.500
# E: -6.97 eV per atom
# ΔE_f: 384 meV/atom
# Theoretical density: 9.6 g cm⁻³
# Offset from the most stable computed form: 319.2 meV/atom

=====

[6]
# LaCo2Re PBE optimized geometry
data_LaCo2Re
_symmetry_space_group_name_H-M 'I m m m'
_symmetry_Int_Tables_number 71
_symmetry_space_group_name_Hall '-I 2 2'
_cell_length_a 3.981
_cell_length_b 5.087
_cell_length_c 6.958
_cell_angle_alpha 90.00
_cell_angle_beta 90.00
_cell_angle_gamma 90.00
loop_
_atom_site_label
_atom_site_type_symbol
_atom_site_fract_x
_atom_site_fract_y
_atom_site_fract_z
La1 La 0.000 0.000 0.000
Co1 Co 0.000 0.500 0.196
Re1 Re 0.000 0.000 0.500
# E: -7.40 eV per atom
# ΔE_f: 500 meV/atom
# Theoretical density: 10.4 g cm⁻³
# Offset from the most stable computed form: 488.0 meV/atom

=====

[7]
# La2Co2Re PBE optimized geometry
data_La2Co2Re
_symmetry_space_group_name_H-M 'P 4/m b m'
_symmetry_Int_Tables_number 127
_symmetry_space_group_name_Hall '-P 4 2ab'
_cell_length_a 6.572
_cell_length_b 6.572
_cell_length_c 4.606
_cell_angle_alpha 90.00
_cell_angle_beta 90.00
_cell_angle_gamma 90.00
loop_
_atom_site_label
_atom_site_type_symbol
_atom_site_fract_x
_atom_site_fract_y
_atom_site_fract_z
La1 La 0.177 0.323 0.000
Co1 Co 0.146 0.646 0.500
Re1 Re 0.000 0.000 0.500
# E: -7.09 eV per atom
# ΔE_f: 208 meV/atom
# Theoretical density: 9.7 g cm⁻³
# Offset from the most stable computed form: 0.0 meV/atom

=====

[8]
# LaCo2Re PBE optimized geometry
data_LaCo2Re
_symmetry_space_group_name_H-M 'R -3 m'
_symmetry_Int_Tables_number 166
_symmetry_space_group_name_Hall '-R 3 2"'
_cell_length_a 4.1297
_cell_length_b 4.1297
_cell_length_c 15.3627
_cell_angle_alpha 90.00
_cell_angle_beta 90.00
_cell_angle_gamma 120.00
loop_
_atom_site_label
_atom_site_type_symbol
_atom_site_fract_x
_atom_site_fract_y
_atom_site_fract_z
La1 La 0.0000 0.0000 0.0000
Co1 Co 0.0000 0.0000 0.1936
Re1 Re 0.0000 0.0000 0.5000
# E: -7.88 eV per atom
# ΔE_f: 12 meV/atom
# Theoretical density: 9.7 g cm⁻³
# Offset from the most stable computed form: 0.0 meV/atom

=====

Q: Among the records above, which one has the highest theoretical density?
A: LaCo2Re2

=====

Q: The lowest ΔE_f belongs to which entry?
A: number 8

=====

Q: The highest ΔE_f belongs to which entry?
A: La4CoRe

=====

Q: Number 3 is which compound?
A: LaCo2Re